No. 1
This record from Alexandria via LeMat-Bulk describes Ac2Nd8Sm after structural relaxation. The functional is GGA-PBE.

Geometry as POSCAR:
```
Ac2Nd8Sm
1.0
7.832 2.149 3.734
3.731 8.253 5.334
3.212 2.640 9.654
Sm Nd Ac
1 8 2
direct
0.000 0.000 0.000
0.780 0.668 0.213
0.780 0.213 0.668
0.772 0.277 0.277
0.228 0.723 0.723
0.262 0.375 0.375
0.220 0.787 0.332
0.738 0.625 0.625
0.220 0.332 0.787
0.354 0.170 0.170
0.646 0.830 0.830
```

Properties
E_tot: -49.36 eV/cell
SG: C2/m
Spin magnetization: 0.00 μB per cell
Relative energy among the computed polymorphs: 0.000 eV per atom


No. 2
This record from Alexandria via LeMat-Bulk describes PuUMnTc after structural relaxation. The functional is GGA-PBE.

Geometry as POSCAR:
```
PuUMnTc
1.0
4.731 0.000 0.000
2.365 4.097 0.000
2.365 1.366 3.863
Tc Mn Pu U
1 1 1 1
direct
0.250 0.250 0.250
0.750 0.750 0.750
0.500 0.500 0.500
0.000 0.000 0.000
```

Properties
E_tot: -44.63 eV/cell
SG: F-43m
Spin magnetization: 3.97 μB per cell